--- i ---
Sm5Ho4Th2 | GGA-PBE | optimized geometry Values from VASP.

```
&SYSTEM
  ibrav = 0, nat = 11, ntyp = 3
/
ATOMIC_SPECIES
Sm 150.36 Sm.upf
Ho 164.93 Ho.upf
Th 232.04 Th.upf
CELL_PARAMETERS angstrom
8.836 0.000 0.000
0.000 3.507 0.000
-0.888 0.000 11.778
ATOMIC_POSITIONS crystal
Sm 0.000 0.000 0.000
Sm 0.073 0.000 0.290
Sm 0.307 0.000 0.838
Sm 0.693 0.000 0.162
Sm 0.927 0.000 0.710
Ho 0.197 0.500 0.546
Ho 0.339 0.500 0.109
Ho 0.661 0.500 0.891
Ho 0.803 0.500 0.454
Th 0.462 0.000 0.366
Th 0.538 0.000 0.634
```

Output
Symmetry: P2/m (10)
Calculated volume, Å³/atom: 33.2
Crystal system: monoclinic

--- ii ---
Sm5Ho4Th2 | GGA-PBE | optimized geometry Values from VASP.

```
&SYSTEM
  ibrav = 0, nat = 11, ntyp = 3
/
ATOMIC_SPECIES
Sm 150.36 Sm.upf
Ho 164.93 Ho.upf
Th 232.04 Th.upf
CELL_PARAMETERS angstrom
-1.712 4.628 12.343
1.712 -4.628 12.343
1.712 4.628 -12.343
ATOMIC_POSITIONS crystal
Sm 0.000 0.000 0.000
Sm 0.164 0.343 0.821
Sm 0.478 0.657 0.821
Sm 0.522 0.343 0.179
Sm 0.836 0.657 0.179
Ho 0.239 0.739 0.500
Ho 0.318 0.500 0.818
Ho 0.682 0.500 0.182
Ho 0.761 0.261 0.500
Th 0.108 0.608 0.500
Th 0.892 0.392 0.500
```

Output
Symmetry: Immm (71)
Calculated volume, Å³/atom: 35.6
Crystal system: orthorhombic

Unit: eV/atom. Relative energies: i 0.000; ii 0.367.